Computed, not measured: a relaxed structure of GdCdNi at the GGA-PBE level of DFT.

Cell: 6.5039 6.5039 6.5039 Å, 90.00 90.00 90.00°
Space group F-43m (No. 216)
Inequivalent atoms, fractional coordinates:
Gd 0.0000 0.0000 0.0000 (multiplicity 4)
Cd 0.0000 0.0000 0.5000 (multiplicity 4)
Ni 0.2500 0.2500 0.2500 (multiplicity 4)

## Properties
energy relative to the elements	-220	meV/atom
energy	-7.146	eV/atom